A relaxed LiEr3Pd12 crystal, computed with GGA-PBE.

a b c (Å): 4.082 4.082 16.013
angles (deg): 90.00 90.00 90.00
Fractional positions:
Pd: 0.000 0.500 0.371
Pd: 0.500 0.500 0.500
Pd: 0.500 0.000 0.885
Pd: 0.500 0.500 0.000
Pd: 0.000 0.500 0.885
Pd: 0.500 0.500 0.242
Pd: 0.000 0.500 0.115
Pd: 0.500 0.000 0.629
Pd: 0.500 0.500 0.758
Pd: 0.500 0.000 0.371
Pd: 0.000 0.500 0.629
Pd: 0.500 0.000 0.115
Er: 0.000 0.000 0.500
Er: 0.000 0.000 0.243
Er: 0.000 0.000 0.757
Li: 0.000 0.000 0.000

E_form: -0.729 eV per atom
Crystal system: tetragonal

A relaxed TaZn5 crystal, computed with GGA-PBE.

a b c (Å): 2.665 5.451 6.860
angles (deg): 75.24 90.00 104.15
Fractional positions:
Zn: 0.057 0.113 0.385
Zn: 0.725 0.449 0.052
Zn: 0.390 0.779 0.723
Zn: 0.331 0.662 0.344
Zn: 0.667 0.334 0.659
Ta: 0.998 0.997 0.004

E_form: 0.063 eV per atom
Crystal system: monoclinic

A relaxed Zr2TcOs crystal, computed with GGA-PBE.

a b c (Å): 4.612 2.982 5.313
angles (deg): 77.73 90.00 90.00
Fractional positions:
Os: 0.000 0.508 0.493
Tc: 0.500 0.748 0.757
Zr: 0.000 0.983 0.986
Zr: 0.500 0.261 0.264

E_form: -0.129 eV per atom
Crystal system: monoclinic

Look up the E_form of the second one.
0.063 eV per atom

E_form of number 1 (LiEr3Pd12)?
-0.729 eV per atom

E_form of number 3 (Zr2TcOs)?
-0.129 eV per atom